1.
Entry from Alexandria: Tm2Mg2Zn3 after structural relaxation (PBE).

## Properties
As for the space group: No. 12. The value obtained for the total magnetization is 0.00 μB/cell.

The structure in POSCAR format:
```
Tm2Mg2Zn3
1.0
4.668 -0.018 -1.300
-2.531 4.171 0.001
-0.295 -0.174 7.936
Mg Tm Zn
2 2 3
Cartesian
0.800 0.488 2.837 Mg
1.043 3.490 3.799 Mg
-0.755 2.399 6.353 Tm
2.598 1.580 0.283 Tm
0.000 0.000 0.000 Zn
0.348 3.066 1.233 Zn
1.495 0.912 5.403 Zn
```



2.
Entry from Alexandria: Tm2MgZr2 after structural relaxation (PBE).

## Properties
As for the space group: No. 139. The value obtained for the total magnetization is 0.00 μB/cell.

The structure in POSCAR format:
```
Tm2MgZr2
1.0
-0.617 -2.691 -1.873
2.652 -1.530 1.324
-7.678 -2.189 8.647
Mg Zr Tm
1 2 2
Cartesian
0.000 0.000 0.000 Mg
-2.697 -1.741 3.390 Zr
-2.947 -4.669 4.709 Zr
-0.368 -3.005 1.467 Tm
-5.275 -3.405 6.631 Tm
```



3.
Entry from Alexandria: TmMg4Zr after structural relaxation (PBE).

## Properties
As for the space group: No. 10. As for the offset from the most stable computed form: 0 meV per atom. The value obtained for the total magnetization is 0.00 μB/cell.

The structure in POSCAR format:
```
TmMg4Zr
1.0
3.122 -0.425 0.069
0.681 5.054 0.290
-3.383 -0.045 8.737
Mg Zr Tm
4 1 1
Cartesian
1.868 2.238 1.597 Mg
-1.448 2.346 7.500 Mg
-1.061 4.951 6.182 Mg
1.481 -0.366 2.914 Mg
0.000 0.000 0.000 Zr
0.210 2.292 4.548 Tm
```



4.
Entry from Alexandria: Tm2MgZr after structural relaxation (PBE).

## Properties
As for the space group: No. 166. As for the offset from the most stable computed form: 54 meV per atom. The value obtained for the total magnetization is 0.00 μB/cell.

The structure in POSCAR format:
```
Tm2MgZr
1.0
3.367 0.000 0.000
1.684 2.916 0.000
1.684 0.972 10.903
Mg Tm Zr
1 2 1
Cartesian
3.367 1.944 5.452 Mg
1.684 0.972 2.631 Tm
5.051 2.916 8.272 Tm
0.000 0.000 0.000 Zr
```



5.
Entry from Alexandria: Tm3MgZr2 after structural relaxation (PBE).

## Properties
As for the space group: No. 123. The value obtained for the total magnetization is 0.00 μB/cell.

The structure in POSCAR format:
```
Tm3MgZr2
1.0
3.364 0.000 0.000
0.000 3.364 0.000
0.000 0.000 13.981
Zr Tm Mg
2 3 1
Cartesian
1.682 1.682 11.598 Zr
1.682 1.682 2.383 Zr
0.000 0.000 4.608 Tm
0.000 0.000 0.000 Tm
0.000 0.000 9.373 Tm
1.682 1.682 6.991 Mg
```



6.
Entry from Alexandria: Tm5Mg6Zr after structural relaxation (PBE).

## Properties
As for the space group: No. 65. The value obtained for the total magnetization is 0.00 μB/cell.

The structure in POSCAR format:
```
Tm5Mg6Zr
1.0
-1.881 -2.881 -3.951
6.908 -1.749 -2.013
-1.166 -7.758 2.739
Tm Mg Zr
5 6 1
Cartesian
-1.015 -3.537 -0.412 Tm
2.437 -4.452 -1.388 Tm
1.424 -7.937 -1.837 Tm
-2.032 -7.103 -0.801 Tm
3.454 -0.875 -1.007 Tm
4.298 -2.767 -3.502 Mg
4.134 -7.021 -0.322 Mg
3.272 -6.265 -3.937 Mg
0.730 -1.863 -2.462 Mg
-0.273 -5.367 -2.904 Mg
0.589 -6.124 0.711 Mg
0.000 0.000 0.000 Zr
```



We obtain formation enthalpy at 0 K values of -0.17; 0.00; 0.03; 0.03; 0.01; -0.02 eV/atom for the records listed above, in that order.